Material: CoGeO3
Method: DFT, GGA+U
State: optimized geometry

Unit cell a=6.699 b=6.699 c=5.223 alpha=98.71 beta=98.71 gamma=86.10
Fractional positions:
Co 0.092 0.908 0.750
Co 0.269 0.731 0.250
Co 0.731 0.269 0.750
Co 0.908 0.092 0.250
Ge 0.207 0.395 0.713
Ge 0.395 0.207 0.213
Ge 0.605 0.793 0.787
Ge 0.793 0.605 0.287
O 0.026 0.207 0.632
O 0.138 0.627 0.884
O 0.207 0.026 0.132
O 0.292 0.429 0.407
O 0.373 0.862 0.616
O 0.429 0.292 0.907
O 0.571 0.708 0.093
O 0.627 0.138 0.384
O 0.708 0.571 0.593
O 0.793 0.974 0.868
O 0.862 0.373 0.116
O 0.974 0.793 0.368

Output
* total energy: -31.69 eV/f.u.
* M_tot: 12.02 μB/cell
* crystal system: monoclinic
* density: 5.2 Mg/m³